No. 1
The following is a PBE calculation of a relaxed structure of CoSiSbAs2, from Alexandria.

Summary:
Energy relative to the elements, uncorrected (meV/atom): 529.2

abc: 4.3909 4.3909 5.4701
angles: 90.00 90.00 90.00
With the nearest neighbours (Å) after each atom.
Fractional coordinates of all 5 atoms:
Co 0.0000 0.0000 0.0000  4 As 2.20
Si 0.5000 0.5000 0.5000  4 Sb 3.10
Sb 0.0000 0.0000 0.5000  2 Co 2.74
As 0.0000 0.5000 0.0000  2 Co 2.20
As 0.5000 0.0000 0.0000  2 Co 2.20

No. 2
The following is a PBE calculation of a relaxed structure of TmZrGa4, from Alexandria.

Summary:
DFT formation energy (eV per formula unit): -3.4
E above lowest polymorph (eV/atom): 0.000

abc: 5.6590 5.6590 5.6590
angles: 137.52 106.54 88.73
With the nearest neighbours (Å) after each atom.
Fractional coordinates of all 6 atoms:
Tm 0.0000 0.0000 0.0000  10 Ga 2.99-3.04
Zr 0.6334 0.1334 0.5000  10 Ga 2.96-3.05
Ga 0.0186 0.7206 0.2980  4 Ga 2.55-2.73
Ga 0.2096 0.4081 0.8015  4 Ga 2.55-2.69
Ga 0.4226 0.7206 0.7020  4 Ga 2.55-2.73
Ga 0.6066 0.4081 0.1985  4 Ga 2.55-2.69

No. 3
The following is a PBE calculation of a relaxed structure of NaHgS3, from Alexandria.

Summary:
Energy relative to the elements, uncorrected (meV/atom): 837.6
E above lowest polymorph (eV/atom): 0.507

abc: 5.0866 5.0866 5.0866
angles: 90.00 90.00 90.00
With the nearest neighbours (Å) after each atom.
Fractional coordinates of all 5 atoms:
Na 0.0000 0.0000 0.0000  6 S 2.54
Hg 0.5000 0.5000 0.5000  12 S 3.60
S 0.0000 0.0000 0.5000  2 Na 2.54
S 0.0000 0.5000 0.0000  2 Na 2.54
S 0.5000 0.0000 0.0000  2 Na 2.54

Values of N(E_F), in order: 3.317 2.816 4.348, all in states/eV per cell.
Values of magnetic moment, in order: 0.0 0.0 3.9, all in μB/cell.